NdMgSb2 after structural relaxation, computed with PBE.

Energy relative to the elements, uncorrected ... -0.713 eV/atom
Energy ... -34.92 eV/cell
Spin magnetization ... 0.0 μB per cell
Polymorph energy (0 for the lowest one) ... 0.00 eV/f.u.
DOS at the Fermi energy ... 2.1 states/eV/f.u.

```
8
Lattice="4.4354 0.0000 0.0000 0.0000 4.4354 0.0000 0.0000 0.0000 11.0974" Properties=species:S:1:pos:R:3 pbc="T T T"
Nd 1.1088 1.1088 2.4261
Nd 3.3265 3.3265 8.6713
Mg 1.1088 3.3265 5.5487
Mg 3.3265 1.1088 5.5487
Sb 1.1088 1.1088 7.4917
Sb 1.1088 3.3265 0.0000
Sb 3.3265 1.1088 0.0000
Sb 3.3265 3.3265 3.6057
```

---

Nd2MgSb after structural relaxation, computed with PBE.

Energy relative to the elements, uncorrected ... -0.452 eV/atom
Energy ... -51.18 eV/cell
Spin magnetization ... 0.0 μB per cell
Polymorph energy (0 for the lowest one) ... 0.56 eV/f.u.
DOS at the Fermi energy ... 4.7 states/eV/f.u.

```
12
Lattice="4.4271 0.0000 0.0000 -2.2136 3.8340 0.0000 0.0000 0.0000 23.8512" Properties=species:S:1:pos:R:3 pbc="T T T"
Nd 0.0000 0.0000 5.7506
Nd 0.0000 0.0000 18.1006
Nd 0.0000 2.5560 10.1502
Nd 0.0000 2.5560 21.6514
Nd 2.2136 1.2780 2.1998
Nd 2.2136 1.2780 13.7010
Mg 0.0000 0.0000 0.0000
Mg 0.0000 2.5560 15.9008
Mg 2.2136 1.2780 7.9504
Sb 0.0000 0.0000 11.9256
Sb 0.0000 2.5560 3.9752
Sb 2.2136 1.2780 19.8760
```

---

NdMg3Sb3 after structural relaxation, computed with PBE.

Energy relative to the elements, uncorrected ... -0.597 eV/atom
Energy ... -52.19 eV/cell
Spin magnetization ... 0.0 μB per cell

```
14
Lattice="4.0854 2.3587 7.4476 -4.0854 2.3587 7.4476 0.0000 -4.7174 7.4476" Properties=species:S:1:pos:R:3 pbc="T T T"
Nd 0.0000 0.0000 3.7108
Nd 0.0000 0.0000 18.6319
Mg -2.6571 0.0332 8.4612
Mg -1.3573 -2.2845 13.8816
Mg 1.2998 -2.3177 8.4612
Mg -1.2998 2.3177 13.8816
Mg 1.3573 2.2845 8.4612
Mg 2.6571 -0.0332 13.8816
Sb -1.4083 -2.3965 9.3746
Sb -2.7796 0.0214 12.9681
Sb -1.3713 2.4179 9.3746
Sb 1.3712 -2.4179 12.9681
Sb 2.7796 -0.0214 9.3746
Sb 1.4083 2.3965 12.9681
```

---

NdMgSb2 after structural relaxation, computed with PBE.

Energy relative to the elements, uncorrected ... -0.611 eV/atom
Energy ... -51.15 eV/cell
Spin magnetization ... 0.0 μB per cell
Polymorph energy (0 for the lowest one) ... 0.41 eV/f.u.
DOS at the Fermi energy ... 1.6 states/eV/f.u.

```
12
Lattice="4.5264 0.0000 0.0000 -2.2632 3.9200 0.0000 0.0000 0.0000 20.4360" Properties=species:S:1:pos:R:3 pbc="T T T"
Nd 0.0000 0.0000 0.0000
Nd 0.0000 2.6133 13.6240
Nd 2.2632 1.3067 6.8120
Mg 0.0000 0.0000 3.5283
Mg 0.0000 2.6133 17.1523
Mg 2.2632 1.3067 10.3403
Sb 0.0000 0.0000 8.6423
Sb 0.0000 0.0000 11.8129
Sb 0.0000 2.6133 1.8303
Sb 0.0000 2.6133 5.0009
Sb 2.2632 1.3067 15.4543
Sb 2.2632 1.3067 18.6249
```

---

NdMgSb2 after structural relaxation, computed with PBE.

Energy relative to the elements, uncorrected ... -0.611 eV/atom
Energy ... -17.05 eV/cell
Spin magnetization ... 0.0 μB per cell
Polymorph energy (0 for the lowest one) ... 0.41 eV/f.u.
DOS at the Fermi energy ... 2.0 states/eV/f.u.

```
4
Lattice="5.0436 0.0000 0.0000 0.0000 5.0436 0.0000 0.0000 0.0000 4.2114" Properties=species:S:1:pos:R:3 pbc="T T T"
Nd 0.0000 0.0000 0.0000
Mg 2.5218 2.5218 0.0000
Sb 0.0000 2.5218 2.1057
Sb 2.5218 0.0000 2.1057
```

---

Nd2MgSb after structural relaxation, computed with PBE.

Energy relative to the elements, uncorrected ... -0.554 eV/atom
Energy ... -34.94 eV/cell
Spin magnetization ... 0.0 μB per cell
Polymorph energy (0 for the lowest one) ... 0.15 eV/f.u.
DOS at the Fermi energy ... 4.8 states/eV/f.u.

```
8
Lattice="4.2423 0.0000 0.0000 -0.0013 7.4452 0.0000 -2.1175 -0.1811 7.8289" Properties=species:S:1:pos:R:3 pbc="T T T"
Nd -0.0004 1.6171 0.6218
Nd -0.0018 5.5276 3.7556
Nd 2.1253 1.7365 4.0733
Nd 2.1239 5.6469 7.2070
Mg 0.0047 3.2738 6.3142
Mg 2.1188 3.9903 1.5147
Sb 0.0039 0.3496 6.0215
Sb 2.1196 6.9145 1.8074
```

---

Nd2MgSb after structural relaxation, computed with PBE.

Energy relative to the elements, uncorrected ... -0.591 eV/atom
Energy ... -17.62 eV/cell
Spin magnetization ... 0.0 μB per cell
Polymorph energy (0 for the lowest one) ... 0.00 eV/f.u.
DOS at the Fermi energy ... 2.8 states/eV/f.u.

```
4
Lattice="4.1085 0.0000 0.0000 0.0000 4.1085 0.0000 0.0000 0.0000 6.8618" Properties=species:S:1:pos:R:3 pbc="T T T"
Nd 0.0000 0.0000 1.6600
Nd 0.0000 0.0000 5.2019
Mg 2.0543 2.0543 3.4309
Sb 2.0543 2.0543 0.0000
```

---

Nd6MgSc after structural relaxation, computed with PBE.

Energy ... -36.44 eV/cell
Spin magnetization ... 0.0 μB per cell
DOS at the Fermi energy ... 10.2 states/eV/f.u.

```
8
Lattice="5.0423 0.0000 0.0000 0.0000 5.0423 0.0000 0.0000 0.0000 10.1167" Properties=species:S:1:pos:R:3 pbc="T T T"
Nd 0.0000 0.0000 0.0000
Nd 0.0000 0.0000 5.0583
Nd 0.0000 2.5211 2.5085
Nd 0.0000 2.5211 7.6081
Nd 2.5211 0.0000 2.5085
Nd 2.5211 0.0000 7.6081
Mg 2.5211 2.5211 5.0583
Sc 2.5211 2.5211 0.0000
```

---

Nd2Mg9Sc after structural relaxation, computed with PBE.

Energy ... -30.11 eV/cell
Spin magnetization ... 0.0 μB per cell
DOS at the Fermi energy ... 12.0 states/eV/f.u.

```
12
Lattice="3.0175 1.7422 9.7958 -3.0175 1.7422 9.7958 0.0000 -3.4843 9.7958" Properties=species:S:1:pos:R:3 pbc="T T T"
Nd 0.0000 0.0000 4.1567
Nd 0.0000 0.0000 25.2307
Mg -1.5249 -0.8804 12.2276
Mg 0.0000 0.0000 9.8136
Mg 0.0000 -1.7608 17.1599
Mg -1.5249 0.8804 17.1599
Mg 0.0000 0.0000 14.6937
Mg 1.5249 -0.8804 12.2276
Mg 0.0000 1.7608 12.2276
Mg 0.0000 0.0000 19.5739
Mg 1.5249 0.8804 17.1599
Sc 0.0000 0.0000 0.0000
```

---

Nd9Mg2Sc after structural relaxation, computed with PBE.

Energy ... -52.35 eV/cell
Spin magnetization ... 0.0 μB per cell
DOS at the Fermi energy ... 19.4 states/eV/f.u.

```
12
Lattice="5.0416 0.0000 0.0000 0.0000 5.0416 0.0000 0.0000 0.0000 15.1743" Properties=species:S:1:pos:R:3 pbc="T T T"
Nd 0.0000 0.0000 0.0000
Nd 0.0000 0.0000 5.0549
Nd 0.0000 0.0000 10.1194
Nd 0.0000 2.5208 2.5133
Nd 0.0000 2.5208 7.5871
Nd 0.0000 2.5208 12.6610
Nd 2.5208 0.0000 2.5133
Nd 2.5208 0.0000 7.5871
Nd 2.5208 0.0000 12.6610
Mg 2.5208 2.5208 5.0846
Mg 2.5208 2.5208 10.0896
Sc 2.5208 2.5208 0.0000
```

---

Nd2MgSc after structural relaxation, computed with PBE.

Energy ... -17.47 eV/cell
Spin magnetization ... 0.0 μB per cell
Polymorph energy (0 for the lowest one) ... 0.02 eV/f.u.
DOS at the Fermi energy ... 5.6 states/eV/f.u.

```
4
Lattice="5.6024 0.0000 0.0000 0.0000 5.6024 0.0000 0.0000 0.0000 3.7486" Properties=species:S:1:pos:R:3 pbc="T T T"
Nd 0.0000 2.8012 0.0000
Nd 2.8012 0.0000 0.0000
Mg 0.0000 0.0000 1.8743
Sc 2.8012 2.8012 1.8743
```

---

Nd4Mg5Sc after structural relaxation, computed with PBE.

Energy ... -34.24 eV/cell
Spin magnetization ... 0.0 μB per cell
DOS at the Fermi energy ... 12.4 states/eV/f.u.

```
10
Lattice="3.8197 0.0000 0.0000 0.0000 3.8197 0.0000 0.0000 0.0000 19.2731" Properties=species:S:1:pos:R:3 pbc="T T T"
Nd 0.0000 0.0000 2.0018
Nd 0.0000 0.0000 5.9652
Nd 0.0000 0.0000 13.3079
Nd 0.0000 0.0000 17.2713
Mg 1.9099 1.9099 0.0000
Mg 1.9099 1.9099 3.9797
Mg 1.9099 1.9099 7.9861
Mg 1.9099 1.9099 11.2870
Mg 1.9099 1.9099 15.2934
Sc 0.0000 0.0000 9.6366
```

---

Nd3MgSc after structural relaxation, computed with PBE.

Energy ... -42.85 eV/cell
Spin magnetization ... 0.0 μB per cell
Polymorph energy (0 for the lowest one) ... 0.40 eV/f.u.
DOS at the Fermi energy ... 6.5 states/eV/f.u.

```
10
Lattice="8.7927 -1.6923 0.0000 8.7927 1.6923 0.0000 -3.5527 0.0000 10.7189" Properties=species:S:1:pos:R:3 pbc="T T T"
Nd -0.7098 0.0000 2.4161
Nd 0.4115 0.0000 9.1964
Nd 3.1844 0.0000 6.8556
Nd 10.8483 0.0000 3.8633
Nd 13.6212 0.0000 1.5225
Nd 14.7425 0.0000 8.3028
Mg -0.2584 0.0000 5.8525
Mg 14.2911 0.0000 4.8664
Sc 3.6443 0.0000 10.2862
Sc 10.3884 0.0000 0.4327
```